Entry 1:
18
Lattice="2.985 -7.489 0.000 2.985 7.489 0.000 0.000 0.000 7.988" Properties=species:S:1:pos:R:3 comment="Pr2Al3Ge4 (GGA-PBEsol, optimized geometry)" total_energy_ev_per_atom=-5.223 ef_ev_per_atom=-0.51 magnetic_moment_mub_per_cell=0.00 n_ef_per_ev_cell=5.52 spacegroup=Cmce pbc="T T T"
Pr 2.985 5.772 7.342
Pr 2.985 1.718 3.348
Pr 2.985 -1.718 4.640
Pr 2.985 -5.772 0.646
Al 0.000 0.000 3.994
Al 1.493 3.236 5.991
Al 1.493 -3.236 1.997
Al 2.985 0.000 0.000
Al 4.478 3.236 5.991
Al 4.478 -3.236 1.997
Ge 2.985 4.721 4.404
Ge 1.493 0.706 5.991
Ge 1.493 -0.706 1.997
Ge 2.985 2.769 0.410
Ge 2.985 -2.769 7.578
Ge 4.478 0.706 5.991
Ge 4.478 -0.706 1.997
Ge 2.985 -4.721 3.584

Entry 2:
4
Lattice="2.901 0.000 0.000 0.000 3.661 0.000 0.000 0.000 6.597" Properties=species:S:1:pos:R:3 comment="AlCuAs2 (GGA-PBEsol, optimized geometry)" total_energy_ev_per_atom=-4.648 ef_ev_per_atom=0.01 magnetic_moment_mub_per_cell=0.00 n_ef_per_ev_cell=1.00 spacegroup=Pmm2 pbc="T T T"
Al 0.000 0.000 0.000
Cu 1.451 1.831 5.194
As 0.000 0.000 4.058
As 1.451 1.831 1.229

Entry 3:
16
Lattice="5.220 -4.184 0.000 5.220 4.184 0.000 0.000 0.000 10.602" Properties=species:S:1:pos:R:3 comment="Sr2CaSn5 (GGA-PBEsol, optimized geometry)" total_energy_ev_per_atom=-3.988 ef_ev_per_atom=-0.60 magnetic_moment_mub_per_cell=0.00 n_ef_per_ev_cell=6.60 spacegroup=Cmcm pbc="T T T"
Sr 2.122 0.000 0.000
Sr 2.122 0.000 5.301
Sr 8.318 0.000 0.000
Sr 8.318 0.000 5.301
Ca 5.220 1.197 7.952
Ca 5.220 -1.197 2.651
Sn 5.220 3.913 2.651
Sn 3.095 1.777 2.651
Sn 5.220 1.550 0.524
Sn 5.220 1.550 4.777
Sn 7.345 1.777 2.651
Sn 3.095 -1.777 7.952
Sn 5.220 -1.550 5.825
Sn 5.220 -1.550 10.078
Sn 7.345 -1.777 7.952
Sn 5.220 -3.913 7.952

Entry 4:
30
Lattice="7.360 0.000 0.000 0.000 7.430 0.000 -3.587 0.000 6.373" Properties=species:S:1:pos:R:3 comment="MgTi2P2O10 (GGA-PBEsol, optimized geometry)" total_energy_ev_per_atom=-8.201 formation_energy_uncorrected_ev_per_atom=-2.7054 magnetic_moment_mub_per_cell=0.00 n_ef_per_ev_cell=0.00 spacegroup=P2_1/c pbc="T T T"
Mg 0.000 0.000 0.000
Mg -1.793 3.715 3.186
Ti -0.880 1.661 5.043
Ti 0.913 2.054 1.857
Ti 2.860 5.376 4.516
Ti 4.653 5.769 1.329
P -1.772 4.612 6.341
P 0.021 6.534 3.155
P 3.752 0.897 3.218
P 5.545 2.818 0.031
O -1.044 5.557 2.630
O -2.837 5.589 5.816
O 0.452 0.033 1.996
O -1.341 3.683 5.182
O 1.689 1.214 0.019
O -0.104 2.501 3.206
O 1.261 3.771 1.135
O -0.532 7.374 4.321
O 3.006 5.440 0.468
O 1.212 5.705 3.654
O 2.561 1.725 2.718
O 0.767 1.990 5.905
O 4.305 0.056 2.051
O 2.512 3.659 5.238
O 3.877 4.929 3.167
O 2.084 6.217 6.353
O 5.114 3.748 1.190
O 3.321 7.398 4.377
O 6.610 1.842 0.556
O 4.817 1.874 3.743

Entry 5:
5
Lattice="4.860 0.000 0.000 0.000 4.860 0.000 0.000 0.000 3.361" Properties=species:S:1:pos:R:3 comment="SiHIrSe2 (GGA-PBEsol, optimized geometry)" total_energy_ev_per_atom=-5.060 magnetic_moment_mub_per_cell=0.00 n_ef_per_ev_cell=2.46 spacegroup=P4/mmm pbc="T T T"
Si 0.000 0.000 0.000
H 2.430 2.430 0.000
Ir 2.430 2.430 1.681
Se 0.000 2.430 1.681
Se 2.430 0.000 1.681

Entry 6:
56
Lattice="10.328 0.000 0.000 0.000 7.707 0.000 0.000 0.000 9.124" Properties=species:S:1:pos:R:3 comment="CaGa2O4 (GGA-PBEsol, optimized geometry)" total_energy_ev_per_atom=-6.522 formation_energy_uncorrected_ev_per_atom=-2.2635 magnetic_moment_mub_per_cell=0.00 n_ef_per_ev_cell=0.00 spacegroup=Pna2_1 pbc="T T T"
Ca 1.187 0.019 0.000
Ca 1.861 3.802 0.442
Ca 3.303 7.656 5.004
Ca 3.977 3.873 4.562
Ca 6.351 3.834 0.000
Ca 7.025 0.052 0.442
Ca 8.467 3.905 5.004
Ca 9.141 7.688 4.562
Ga 0.973 5.288 6.130
Ga 1.207 2.184 6.144
Ga 1.326 5.329 3.146
Ga 1.563 1.842 3.154
Ga 3.601 5.696 7.716
Ga 3.838 1.475 7.708
Ga 3.957 6.038 1.583
Ga 4.191 1.434 1.568
Ga 6.137 6.273 6.130
Ga 6.371 1.670 6.144
Ga 6.490 6.232 3.146
Ga 6.727 2.012 3.154
Ga 8.765 5.865 7.716
Ga 9.002 2.379 7.708
Ga 9.121 5.523 1.583
Ga 9.355 2.420 1.568
O 0.312 3.670 5.549
O 0.446 1.852 7.798
O 0.481 1.314 1.769
O 0.946 1.017 4.709
O 1.856 5.062 7.711
O 2.055 3.624 2.906
O 2.095 6.125 1.622
O 2.141 5.738 4.765
O 3.023 1.885 0.204
O 3.069 2.271 6.184
O 3.109 7.478 7.468
O 3.308 1.208 3.149
O 4.218 4.871 0.148
O 4.683 5.168 6.331
O 4.718 5.706 3.236
O 4.852 7.524 0.988
O 5.476 0.184 5.549
O 5.610 2.002 7.798
O 5.645 2.539 1.769
O 6.110 2.837 4.709
O 7.020 6.499 7.711
O 7.219 0.229 2.906
O 7.259 5.436 1.622
O 7.305 5.823 4.765
O 8.187 1.969 0.204
O 8.233 1.583 6.184
O 8.273 4.083 7.468
O 8.472 2.646 3.149
O 9.382 6.690 0.148
O 9.847 6.393 6.331
O 9.882 5.855 3.236
O 10.017 4.037 0.988

Entry 7:
4
Lattice="4.026 0.000 0.000 0.000 4.135 0.000 0.000 0.000 5.171" Properties=species:S:1:pos:R:3 comment="LaCd2Fe (GGA-PBEsol, optimized geometry)" total_energy_ev_per_atom=-3.969 ef_ev_per_atom=0.21 magnetic_moment_mub_per_cell=1.73 n_ef_per_ev_cell=3.95 spacegroup=Pmmm pbc="T T T"
La 0.000 0.000 0.000
Cd 0.000 2.067 2.586
Cd 2.013 0.000 2.586
Fe 2.013 2.067 0.000

Entry 8:
8
Lattice="3.643 0.000 0.000 0.000 3.643 0.000 0.000 0.000 7.546" Properties=species:S:1:pos:R:3 comment="TcNi2W (GGA-PBEsol, optimized geometry)" total_energy_ev_per_atom=-9.362 ef_ev_per_atom=-0.02 magnetic_moment_mub_per_cell=0.00 n_ef_per_ev_cell=9.11 spacegroup=I4/mmm pbc="T T T"
Tc 0.000 0.000 0.000
Tc 1.821 1.821 3.773
Ni 0.000 1.821 1.886
Ni 0.000 1.821 5.659
Ni 1.821 0.000 1.886
Ni 1.821 0.000 5.659
W 0.000 0.000 3.773
W 1.821 1.821 0.000

Entry 9:
12
Lattice="5.882 0.000 0.000 0.000 5.882 0.000 0.000 0.000 5.882" Properties=species:S:1:pos:R:3 comment="TaAlCu (GGA-PBEsol, optimized geometry)" total_energy_ev_per_atom=-6.294 ef_ev_per_atom=0.70 magnetic_moment_mub_per_cell=0.01 n_ef_per_ev_cell=13.19 spacegroup=F-43m pbc="T T T"
Ta 0.000 0.000 0.000
Ta 0.000 2.941 2.941
Ta 2.941 0.000 2.941
Ta 2.941 2.941 0.000
Al 1.471 1.471 1.471
Al 1.471 4.412 4.412
Al 4.412 1.471 4.412
Al 4.412 4.412 1.471
Cu 0.000 0.000 2.941
Cu 0.000 2.941 0.000
Cu 2.941 0.000 0.000
Cu 2.941 2.941 2.941

Entry 10:
20
Lattice="5.946 0.000 0.000 -2.973 5.149 0.000 0.000 0.000 12.059" Properties=species:S:1:pos:R:3 comment="Nb3CoSe6 (GGA-PBEsol, optimized geometry)" total_energy_ev_per_atom=-7.147 formation_energy_uncorrected_ev_per_atom=-0.8169 magnetic_moment_mub_per_cell=1.34 n_ef_per_ev_cell=13.89 spacegroup=P6_322 pbc="T T T"
Nb 0.000 0.000 0.000
Nb 0.000 0.000 6.030
Nb 0.000 3.433 12.054
Nb 0.000 3.433 6.035
Nb 2.973 1.716 0.006
Nb 2.973 1.716 6.024
Co 0.000 3.433 3.015
Co 2.973 1.716 9.045
Se -0.972 1.716 10.384
Se -1.973 3.449 7.706
Se 0.972 1.716 7.706
Se -1.001 5.133 10.384
Se 1.972 0.016 1.676
Se 1.000 1.700 4.354
Se 1.973 3.449 10.384
Se 1.001 5.133 7.706
Se 3.974 0.016 4.354
Se 2.001 3.433 1.676
Se 4.946 1.700 1.676
Se 3.945 3.433 4.354

Entry 11:
6
Lattice="3.960 0.000 0.000 0.000 3.960 0.000 0.000 0.000 17.127" Properties=species:S:1:pos:R:3 comment="Sr5Br (GGA-PBEsol, optimized geometry)" total_energy_ev_per_atom=-2.277 formation_energy_uncorrected_ev_per_atom=-0.4313 magnetic_moment_mub_per_cell=0.00 n_ef_per_ev_cell=4.14 spacegroup=P4/mmm pbc="T T T"
Sr 0.000 0.000 0.000
Sr 0.000 0.000 6.323
Sr 0.000 0.000 10.804
Sr 1.980 1.980 3.194
Sr 1.980 1.980 13.933
Br 1.980 1.980 8.564

Entry 12:
12
Lattice="3.424 0.000 0.000 -1.712 2.965 0.000 0.000 0.000 30.904" Properties=species:S:1:pos:R:3 comment="La2InW (GGA-PBEsol, optimized geometry)" total_energy_ev_per_atom=-6.385 ef_ev_per_atom=0.49 magnetic_moment_mub_per_cell=0.00 n_ef_per_ev_cell=17.90 spacegroup=R-3m pbc="T T T"
La 0.000 0.000 7.378
La 0.000 0.000 23.526
La 0.000 1.977 13.224
La 0.000 1.977 27.980
La 1.712 0.988 2.923
La 1.712 0.988 17.679
In 0.000 0.000 0.000
In 0.000 1.977 20.602
In 1.712 0.988 10.301
W 0.000 0.000 15.452
W 0.000 1.977 5.151
W 1.712 0.988 25.753

Please write out number 12 again, unchanged.
12
Lattice="3.424 0.000 0.000 -1.712 2.965 0.000 0.000 0.000 30.904" Properties=species:S:1:pos:R:3 comment="La2InW (GGA-PBEsol, optimized geometry)" total_energy_ev_per_atom=-6.385 ef_ev_per_atom=0.49 magnetic_moment_mub_per_cell=0.00 n_ef_per_ev_cell=17.90 spacegroup=R-3m pbc="T T T"
La 0.000 0.000 7.378
La 0.000 0.000 23.526
La 0.000 1.977 13.224
La 0.000 1.977 27.980
La 1.712 0.988 2.923
La 1.712 0.988 17.679
In 0.000 0.000 0.000
In 0.000 1.977 20.602
In 1.712 0.988 10.301
W 0.000 0.000 15.452
W 0.000 1.977 5.151
W 1.712 0.988 25.753